Record 1
Density functional theory data (PBE) for a geometry-optimized LiMnNiP structure.

Properties
V, Å³ per atom: 10.1
Density of states at the Fermi level, states/eV per cell: 11.012

The structure in CIF format:
```
data_LiMnNiP
_chemical_formula_sum 'Li4 Mn4 Ni4 P4'
_cell_length_a 5.455
_cell_length_b 5.455
_cell_length_c 5.455
_cell_angle_alpha 90.00
_cell_angle_beta 90.00
_cell_angle_gamma 90.00
_space_group_name_H-M_alt 'F -4 3 m'
_space_group_IT_number 216
_space_group_name_Hall 'F -4 2 3'
loop_
_atom_site_label
_atom_site_type_symbol
_atom_site_fract_x
_atom_site_fract_y
_atom_site_fract_z
Li1 Li 0.000 0.000 0.000
Mn1 Mn 0.250 0.250 0.250
Ni1 Ni 0.250 0.250 0.750
P1 P 0.000 0.000 0.500
```



Record 2
Density functional theory data (PBE) for a geometry-optimized PPt3Au structure.

Properties
Offset from the most stable computed form, meV per atom: 0.0
V, Å³ per atom: 18.1
Density of states at the Fermi level, states/eV per cell: 2.389

The structure in CIF format:
```
data_PPt3Au
_chemical_formula_sum 'P1 Pt3 Au1'
_cell_length_a 4.493
_cell_length_b 4.493
_cell_length_c 4.493
_cell_angle_alpha 90.00
_cell_angle_beta 90.00
_cell_angle_gamma 90.00
_space_group_name_H-M_alt 'P m -3 m'
_space_group_IT_number 221
_space_group_name_Hall '-P 4 2 3'
loop_
_atom_site_label
_atom_site_type_symbol
_atom_site_fract_x
_atom_site_fract_y
_atom_site_fract_z
P1 P 0.000 0.000 0.000
Pt1 Pt 0.000 0.000 0.500
Au1 Au 0.500 0.500 0.500
```



Record 3
Density functional theory data (PBE) for a geometry-optimized Pu2Mg2Ni15 structure.

Properties
V, Å³ per atom: 13.1
Density of states at the Fermi level, states/eV per cell: 125.795

The structure in CIF format:
```
data_Pu2Mg2Ni15
_chemical_formula_sum 'Pu6 Mg6 Ni45'
_cell_length_a 8.3759
_cell_length_b 8.3759
_cell_length_c 12.3190
_cell_angle_alpha 90.00
_cell_angle_beta 90.00
_cell_angle_gamma 120.00
_space_group_name_H-M_alt 'R -3 m'
_space_group_IT_number 166
_space_group_name_Hall '-R 3 2"'
loop_
_atom_site_label
_atom_site_type_symbol
_atom_site_fract_x
_atom_site_fract_y
_atom_site_fract_z
Pu1 Pu 0.0000 0.0000 0.1483
Mg1 Mg 0.0000 0.0000 0.3967
Ni1 Ni 0.0000 0.3059 0.5000
Ni2 Ni 0.0000 0.5000 0.0000
Ni3 Ni 0.0041 0.5020 0.6556
```



Record 4
Density functional theory data (PBE) for a geometry-optimized Pr2Y6Ho3Sc structure.

Properties
V, Å³ per atom: 31.8
Density of states at the Fermi level, states/eV per cell: 33.808

The structure in CIF format:
```
data_Pr2Y6Ho3Sc
_chemical_formula_sum 'Pr4 Y12 Ho6 Sc2'
_cell_length_a 6.158
_cell_length_b 10.663
_cell_length_c 11.808
_cell_angle_alpha 90.00
_cell_angle_beta 99.97
_cell_angle_gamma 90.00
_space_group_name_H-M_alt 'C 1 2/m 1'
_space_group_IT_number 12
loop_
_space_group_symop_operation_xyz
'x,y,z'
'-x,-y,-z'
'-x,y,-z'
'x,-y,z'
'x+1/2,y+1/2,z'
'-x+1/2,-y+1/2,-z'
'-x+1/2,y+1/2,-z'
'x+1/2,-y+1/2,z'
loop_
_atom_site_label
_atom_site_type_symbol
_atom_site_fract_x
_atom_site_fract_y
_atom_site_fract_z
Pr1 Pr 0.000 0.166 0.000
Y1 Y 0.247 0.500 0.748
Y2 Y 0.248 0.335 0.251
Ho1 Ho 0.000 0.000 0.500
Ho2 Ho 0.000 0.334 0.500
Sc1 Sc 0.000 0.500 0.000
```



Record 5
Density functional theory data (PBE) for a geometry-optimized Pu2FePPt structure.

Properties
V, Å³ per atom: 15.3
Density of states at the Fermi level, states/eV per cell: 25.762

The structure in CIF format:
```
data_Pu2FePPt
_chemical_formula_sum 'Pu4 Fe2 P2 Pt2'
_cell_length_a 3.445
_cell_length_b 3.445
_cell_length_c 12.871
_cell_angle_alpha 90.00
_cell_angle_beta 90.00
_cell_angle_gamma 90.00
_space_group_name_H-M_alt 'P 4/n m m'
_space_group_IT_number 129
loop_
_space_group_symop_operation_xyz
'x,y,z'
'-x,-y,-z'
'-y+1/2,x,z'
'y+1/2,-x,-z'
'-x+1/2,-y+1/2,z'
'x+1/2,y+1/2,-z'
'y,-x+1/2,z'
'-y,x+1/2,-z'
'x+1/2,-y,-z'
'-x+1/2,y,z'
'-y,-x,-z'
'y,x,z'
'-x,y+1/2,-z'
'x,-y+1/2,z'
'y+1/2,x+1/2,-z'
'-y+1/2,-x+1/2,z'
loop_
_atom_site_label
_atom_site_type_symbol
_atom_site_fract_x
_atom_site_fract_y
_atom_site_fract_z
Pu1 Pu 0.250 0.250 0.191
Pu2 Pu 0.250 0.250 0.720
Fe1 Fe 0.250 0.750 0.500
P1 P 0.250 0.250 0.396
Pt1 Pt 0.250 0.250 0.945
```



Record 6
Density functional theory data (PBE) for a geometry-optimized Rb2Na2As structure.

Properties
Offset from the most stable computed form, meV per atom: 114.5
V, Å³ per atom: 39.7
Density of states at the Fermi level, states/eV per cell: 5.928

The structure in CIF format:
```
data_Rb2Na2As
_chemical_formula_sum 'Rb4 Na4 As2'
_cell_length_a 7.939
_cell_length_b 7.939
_cell_length_c 6.295
_cell_angle_alpha 90.00
_cell_angle_beta 90.00
_cell_angle_gamma 90.00
_space_group_name_H-M_alt 'P 4/m b m'
_space_group_IT_number 127
_space_group_name_Hall '-P 4 2ab'
loop_
_atom_site_label
_atom_site_type_symbol
_atom_site_fract_x
_atom_site_fract_y
_atom_site_fract_z
Rb1 Rb 0.204 0.296 0.000
Na1 Na 0.166 0.666 0.500
As1 As 0.000 0.000 0.500
```



Record 7
Density functional theory data (PBE) for a geometry-optimized ZrVPb3 structure.

Properties
Offset from the most stable computed form, meV per atom: 0.0
V, Å³ per atom: 28.9
Density of states at the Fermi level, states/eV per cell: 3.431

The structure in CIF format:
```
data_ZrVPb3
_chemical_formula_sum 'Zr1 V1 Pb3'
_cell_length_a 5.248
_cell_length_b 5.248
_cell_length_c 5.248
_cell_angle_alpha 90.00
_cell_angle_beta 90.00
_cell_angle_gamma 90.00
_space_group_name_H-M_alt 'P m -3 m'
_space_group_IT_number 221
_space_group_name_Hall '-P 4 2 3'
loop_
_atom_site_label
_atom_site_type_symbol
_atom_site_fract_x
_atom_site_fract_y
_atom_site_fract_z
Zr1 Zr 0.000 0.000 0.000
V1 V 0.500 0.500 0.500
Pb1 Pb 0.000 0.500 0.500
```



Record 8
Density functional theory data (PBE) for a geometry-optimized SrEuPd structure.

Properties
Offset from the most stable computed form, meV per atom: 10.9
V, Å³ per atom: 32.7
Density of states at the Fermi level, states/eV per cell: 24.554

The structure in CIF format:
```
data_SrEuPd
_chemical_formula_sum 'Sr2 Eu2 Pd2'
_cell_length_a 3.760
_cell_length_b 3.760
_cell_length_c 13.888
_cell_angle_alpha 90.00
_cell_angle_beta 90.00
_cell_angle_gamma 90.00
_space_group_name_H-M_alt 'I 4 m m'
_space_group_IT_number 107
_space_group_name_Hall 'I 4 -2'
loop_
_atom_site_label
_atom_site_type_symbol
_atom_site_fract_x
_atom_site_fract_y
_atom_site_fract_z
Sr1 Sr 0.000 0.000 0.000
Eu1 Eu 0.000 0.000 0.254
Pd1 Pd 0.000 0.000 0.635
```



Record 9
Density functional theory data (PBE) for a geometry-optimized ScMo2As2 structure.

Properties
Offset from the most stable computed form, meV per atom: 0.0
V, Å³ per atom: 19.0
Density of states at the Fermi level, states/eV per cell: 6.982

The structure in CIF format:
```
data_ScMo2As2
_chemical_formula_sum 'Sc2 Mo4 As4'
_cell_length_a 4.732
_cell_length_b 4.732
_cell_length_c 8.505
_cell_angle_alpha 90.00
_cell_angle_beta 90.00
_cell_angle_gamma 90.00
_space_group_name_H-M_alt 'I 4/m m m'
_space_group_IT_number 139
_space_group_name_Hall '-I 4 2'
loop_
_atom_site_label
_atom_site_type_symbol
_atom_site_fract_x
_atom_site_fract_y
_atom_site_fract_z
Sc1 Sc 0.000 0.000 0.000
Mo1 Mo 0.000 0.000 0.369
As1 As 0.000 0.500 0.250
```



Record 10
Density functional theory data (PBE) for a geometry-optimized Cd2TcAu structure.

Properties
Offset from the most stable computed form, meV per atom: 124.2
V, Å³ per atom: 18.6
Density of states at the Fermi level, states/eV per cell: 4.934

The structure in CIF format:
```
data_Cd2TcAu
_chemical_formula_sum 'Cd4 Tc2 Au2'
_cell_length_a 4.245
_cell_length_b 4.245
_cell_length_c 8.248
_cell_angle_alpha 90.00
_cell_angle_beta 90.00
_cell_angle_gamma 90.00
_space_group_name_H-M_alt 'I -4 m 2'
_space_group_IT_number 119
_space_group_name_Hall 'I -4 -2'
loop_
_atom_site_label
_atom_site_type_symbol
_atom_site_fract_x
_atom_site_fract_y
_atom_site_fract_z
Cd1 Cd 0.000 0.000 0.000
Cd2 Cd 0.000 0.500 0.250
Tc1 Tc 0.000 0.500 0.750
Au1 Au 0.000 0.000 0.500
```



Record 11
Density functional theory data (PBE) for a geometry-optimized SrInP2Rh5 structure.

Properties
V, Å³ per atom: 18.9
Density of states at the Fermi level, states/eV per cell: 2.972

The structure in CIF format:
```
data_SrInP2Rh5
_chemical_formula_sum 'Sr1 In1 P2 Rh5'
_cell_length_a 4.153
_cell_length_b 4.153
_cell_length_c 9.878
_cell_angle_alpha 90.00
_cell_angle_beta 90.00
_cell_angle_gamma 90.00
_space_group_name_H-M_alt 'P 4/m m m'
_space_group_IT_number 123
_space_group_name_Hall '-P 4 2'
loop_
_atom_site_label
_atom_site_type_symbol
_atom_site_fract_x
_atom_site_fract_y
_atom_site_fract_z
Sr1 Sr 0.000 0.000 0.000
In1 In 0.000 0.000 0.500
P1 P 0.500 0.500 0.228
Rh1 Rh 0.000 0.500 0.323
Rh2 Rh 0.500 0.500 0.000
```



Record 12
Density functional theory data (PBE) for a geometry-optimized HfGa2CuPt structure.

Properties
V, Å³ per atom: 26.8
Density of states at the Fermi level, states/eV per cell: 4.149

The structure in CIF format:
```
data_HfGa2CuPt
_chemical_formula_sum 'Hf1 Ga2 Cu1 Pt1'
_cell_length_a 5.222
_cell_length_b 5.222
_cell_length_c 4.906
_cell_angle_alpha 90.00
_cell_angle_beta 90.00
_cell_angle_gamma 90.00
_space_group_name_H-M_alt 'P 4/m m m'
_space_group_IT_number 123
_space_group_name_Hall '-P 4 2'
loop_
_atom_site_label
_atom_site_type_symbol
_atom_site_fract_x
_atom_site_fract_y
_atom_site_fract_z
Hf1 Hf 0.000 0.000 0.000
Ga1 Ga 0.000 0.500 0.000
Cu1 Cu 0.500 0.500 0.500
Pt1 Pt 0.000 0.000 0.500
```



Number 1: total energy -5.8857 eV per atom. Number 2: total energy -5.2139 eV per atom. Number 3: total energy -6.3829 eV per atom. Number 4: total energy -5.6712 eV per atom. Number 5: total energy -9.9237 eV per atom. Number 6: total energy -1.9710 eV per atom. Number 7: total energy -4.9919 eV per atom. Number 8: total energy -6.1352 eV per atom. Number 9: total energy -7.6187 eV per atom. Number 10: total energy -3.5179 eV per atom. Number 11: total energy -6.3344 eV per atom. Number 12: total energy -4.3536 eV per atom.